No. 1
Below is BaZnBO3F after structural relaxation, with properties calculated at the PBE level.

Cell: 5.125 5.125 4.374 Å, 90.00 90.00 120.00°
Atoms (fractional coordinates):
Ba 0.000 0.000 0.000
Zn 0.333 0.667 0.500
B 0.667 0.333 0.500
O 0.385 0.309 0.500
O 0.691 0.075 0.500
O 0.925 0.615 0.500
F 0.333 0.667 0.000

Results
- Total magnetization: 0.00 μB/atom
- Raw total energy: -6.372 eV per atom
- Density of states at the Fermi level: 0.0 states/eV per cell
- Raw formation energy: -2.569 eV/atom

---

No. 2
Below is CeDy5 after structural relaxation, with properties calculated at the PBE level.

Cell: 9.357 9.357 6.130 Å, 109.07 109.07 21.75°
Atoms (fractional coordinates):
Ce 0.000 0.000 0.000
Dy 0.166 0.166 0.836
Dy 0.334 0.334 0.670
Dy 0.500 0.500 0.500
Dy 0.666 0.666 0.330
Dy 0.834 0.834 0.164

Results
- Offset from the most stable computed form: 0 meV per atom
- Total magnetization: 0.13 μB/atom
- Raw total energy: -4.777 eV per atom
- Density of states at the Fermi level: 10.8 states/eV per cell
- ΔH_f (0 K): 0.047 eV per atom

---

No. 3
Below is LaSm3Sc4 after structural relaxation, with properties calculated at the PBE level.

Cell: 10.902 7.286 5.936 Å, 90.00 90.00 90.00°
Atoms (fractional coordinates):
La 0.000 0.139 0.000
La 0.500 0.861 0.500
Sm 0.000 0.858 0.502
Sm 0.249 0.143 0.368
Sm 0.251 0.857 0.868
Sm 0.500 0.142 0.002
Sm 0.749 0.857 0.868
Sm 0.751 0.143 0.368
Sc 0.000 0.397 0.516
Sc 0.000 0.604 0.017
Sc 0.248 0.605 0.353
Sc 0.252 0.395 0.853
Sc 0.500 0.396 0.517
Sc 0.500 0.603 0.016
Sc 0.748 0.395 0.853
Sc 0.752 0.605 0.353

Results
- Total magnetization: 0.00 μB/atom
- Raw total energy: -5.491 eV per atom
- Density of states at the Fermi level: 29.3 states/eV per cell
- ΔH_f (0 K): 0.060 eV per atom

---

No. 4
Below is ZnBiSeN2 after structural relaxation, with properties calculated at the PBE level.

Cell: 4.129 4.129 5.192 Å, 90.00 90.00 90.00°
Atoms (fractional coordinates):
Zn 0.000 0.000 0.000
Bi 0.500 0.500 0.500
Se 0.000 0.000 0.500
N 0.000 0.500 0.000
N 0.500 0.000 0.000

Results
- Offset from the most stable computed form: 0 meV per atom
- Total magnetization: 0.51 μB/atom
- Raw total energy: -3.788 eV per atom
- Density of states at the Fermi level: 2.3 states/eV per cell
- Raw formation energy: 1.270 eV/atom

---

No. 5
Below is Tb2YEr6Sc after structural relaxation, with properties calculated at the PBE level.

Cell: 8.632 8.632 9.387 Å, 93.92 93.92 117.70°
Atoms (fractional coordinates):
Tb 0.194 0.300 0.454
Tb 0.300 0.194 0.954
Tb 0.700 0.806 0.046
Tb 0.806 0.700 0.546
Y 0.479 0.521 0.750
Y 0.521 0.479 0.250
Er 0.003 0.791 0.884
Er 0.068 0.510 0.690
Er 0.209 0.997 0.616
Er 0.250 0.629 0.056
Er 0.371 0.750 0.444
Er 0.490 0.932 0.810
Er 0.510 0.068 0.190
Er 0.629 0.250 0.556
Er 0.750 0.371 0.944
Er 0.791 0.003 0.384
Er 0.932 0.490 0.310
Er 0.997 0.209 0.116
Sc 0.088 0.912 0.250
Sc 0.912 0.088 0.750

Results
- Total magnetization: 0.00 μB/atom
- Raw total energy: -4.820 eV per atom
- Density of states at the Fermi level: 24.9 states/eV per cell
- ΔH_f (0 K): 0.123 eV per atom

---

No. 6
Below is Ce4Ge2N after structural relaxation, with properties calculated at the PBE level.

Cell: 6.699 6.341 8.662 Å, 90.00 108.82 90.00°
Atoms (fractional coordinates):
Ce 0.014 0.024 0.265
Ce 0.014 0.476 0.265
Ce 0.393 0.250 0.074
Ce 0.417 0.250 0.629
Ce 0.583 0.750 0.371
Ce 0.607 0.750 0.926
Ce 0.986 0.524 0.735
Ce 0.986 0.976 0.735
Ge 0.226 0.750 0.055
Ge 0.274 0.750 0.568
Ge 0.726 0.250 0.432
Ge 0.774 0.250 0.945
N 0.215 0.250 0.800
N 0.785 0.750 0.200

Results
- Offset from the most stable computed form: 30 meV per atom
- Total magnetization: 0.57 μB/atom
- Raw total energy: -6.698 eV per atom
- Density of states at the Fermi level: 34.9 states/eV per cell
- Raw formation energy: -0.799 eV/atom

---

No. 7
Below is CaCuOs after structural relaxation, with properties calculated at the PBE level.

Cell: 5.595 5.595 5.595 Å, 145.69 145.69 49.31°
Atoms (fractional coordinates):
Ca 0.000 0.000 0.000
Cu 0.710 0.710 0.000
Os 0.295 0.295 0.000

Results
- Offset from the most stable computed form: 22 meV per atom
- Total magnetization: 0.00 μB/atom
- Raw total energy: -5.328 eV per atom
- Density of states at the Fermi level: 3.3 states/eV per cell
- ΔH_f (0 K): 0.448 eV per atom

---

No. 8
Below is Ca2MgIr after structural relaxation, with properties calculated at the PBE level.

Cell: 3.508 3.409 8.550 Å, 90.00 90.24 90.00°
Atoms (fractional coordinates):
Ca 0.001 0.000 0.193
Ca 0.999 0.000 0.807
Mg 0.500 0.500 0.500
Ir 0.500 0.500 0.000

Results
- Total magnetization: 0.00 μB/atom
- Raw total energy: -3.791 eV per atom
- Density of states at the Fermi level: 2.5 states/eV per cell
- ΔH_f (0 K): -0.176 eV per atom

---

No. 9
Below is Sm5BiPd2 after structural relaxation, with properties calculated at the PBE level.

Cell: 8.940 8.940 8.940 Å, 126.39 126.39 79.24°
Atoms (fractional coordinates):
Sm 0.000 0.000 0.000
Sm 0.014 0.514 0.810
Sm 0.205 0.014 0.500
Sm 0.295 0.795 0.810
Sm 0.486 0.295 0.500
Sm 0.500 0.500 0.000
Sm 0.514 0.705 0.500
Sm 0.705 0.205 0.190
Sm 0.795 0.986 0.500
Sm 0.986 0.486 0.190
Bi 0.250 0.250 0.000
Bi 0.750 0.750 0.000
Pd 0.135 0.365 0.500
Pd 0.365 0.865 0.230
Pd 0.635 0.135 0.770
Pd 0.865 0.635 0.500

Results
- Total magnetization: 0.00 μB/atom
- Raw total energy: -5.383 eV per atom
- Density of states at the Fermi level: 16.4 states/eV per cell
- ΔH_f (0 K): -0.651 eV per atom

---

No. 10
Below is MnPt2Au after structural relaxation, with properties calculated at the PBE level.

Cell: 4.888 4.888 4.888 Å, 131.85 131.85 70.47°
Atoms (fractional coordinates):
Mn 0.000 0.000 0.000
Pt 0.500 0.500 0.000
Pt 0.750 0.250 0.500
Au 0.250 0.750 0.500

Results
- Total magnetization: 1.01 μB/atom
- Raw total energy: -6.325 eV per atom
- Density of states at the Fermi level: 3.5 states/eV per cell
- ΔH_f (0 K): -0.193 eV per atom

---

No. 11
Below is Pr14HoCd after structural relaxation, with properties calculated at the PBE level.

Cell: 7.299 7.299 10.425 Å, 90.00 90.00 90.00°
Atoms (fractional coordinates):
Pr 0.000 0.000 0.000
Pr 0.000 0.500 0.000
Pr 0.000 0.500 0.500
Pr 0.249 0.249 0.255
Pr 0.249 0.249 0.745
Pr 0.249 0.751 0.255
Pr 0.249 0.751 0.745
Pr 0.500 0.000 0.000
Pr 0.500 0.000 0.500
Pr 0.500 0.500 0.000
Pr 0.751 0.249 0.255
Pr 0.751 0.249 0.745
Pr 0.751 0.751 0.255
Pr 0.751 0.751 0.745
Ho 0.500 0.500 0.500
Cd 0.000 0.000 0.500

Results
- Total magnetization: 0.00 μB/atom
- Raw total energy: -4.542 eV per atom
- Density of states at the Fermi level: 19.4 states/eV per cell
- ΔH_f (0 K): -0.017 eV per atom

---

No. 12
Below is YMgTcIr2 after structural relaxation, with properties calculated at the PBE level.

Cell: 4.925 4.925 5.160 Å, 90.00 90.00 90.00°
Atoms (fractional coordinates):
Y 0.000 0.000 0.000
Mg 0.000 0.000 0.500
Tc 0.500 0.500 0.500
Ir 0.000 0.500 0.000
Ir 0.500 0.000 0.000

Results
- Total magnetization: 0.79 μB/atom
- Raw total energy: -5.262 eV per atom
- Density of states at the Fermi level: 3.2 states/eV per cell
- ΔH_f (0 K): 1.968 eV per atom

---

No. 13
Below is PmFeBi2 after structural relaxation, with properties calculated at the PBE level.

Cell: 10.891 10.891 10.891 Å, 18.54 18.54 18.54°
Atoms (fractional coordinates):
Pm 0.000 0.000 0.000
Fe 0.500 0.500 0.500
Bi 0.418 0.418 0.418
Bi 0.582 0.582 0.582

Results
- Total magnetization: 0.71 μB/atom
- Raw total energy: -4.907 eV per atom
- Density of states at the Fermi level: 5.4 states/eV per cell
- ΔH_f (0 K): 0.337 eV per atom

---

No. 14
Below is NaLaMg2Os after structural relaxation, with properties calculated at the PBE level.

Cell: 5.312 5.312 5.213 Å, 90.00 90.00 90.00°
Atoms (fractional coordinates):
Na 0.000 0.000 0.000
La 0.500 0.500 0.000
Mg 0.000 0.500 0.500
Mg 0.500 0.000 0.500
Os 0.500 0.500 0.500

Results
- Total magnetization: 0.00 μB/atom
- Raw total energy: -4.030 eV per atom
- Density of states at the Fermi level: 3.4 states/eV per cell
- ΔH_f (0 K): 0.103 eV per atom

---

No. 15
Below is MgNi2H2 after structural relaxation, with properties calculated at the PBE level.

Cell: 4.821 4.821 4.821 Å, 137.67 137.67 61.41°
Atoms (fractional coordinates):
Mg 0.000 0.000 0.000
Ni 0.250 0.750 0.500
Ni 0.750 0.250 0.500
H 0.285 0.285 0.000
H 0.715 0.715 0.000

Results
- Offset from the most stable computed form: 68 meV per atom
- Total magnetization: 0.00 μB/atom
- Raw total energy: -4.105 eV per atom
- Density of states at the Fermi level: 1.6 states/eV per cell

---

No. 16
Below is TbPa2Ru2 after structural relaxation, with properties calculated at the PBE level.

Cell: 3.684 7.899 8.284 Å, 91.29 102.75 103.43°
Atoms (fractional coordinates):
Tb 0.140 0.455 0.325
Tb 0.860 0.545 0.675
Pa 0.166 0.151 0.680
Pa 0.369 0.138 0.101
Pa 0.631 0.862 0.899
Pa 0.834 0.849 0.320
Ru 0.135 0.704 0.067
Ru 0.459 0.838 0.580
Ru 0.541 0.162 0.420
Ru 0.865 0.296 0.933

Results
- Total magnetization: 0.00 μB/atom
- Raw total energy: -8.751 eV per atom
- Density of states at the Fermi level: 11.2 states/eV per cell
- ΔH_f (0 K): -0.316 eV per atom

---

No. 17
Below is BaNi2W after structural relaxation, with properties calculated at the PBE level.

Cell: 4.623 4.623 4.623 Å, 60.00 60.00 60.00°
Atoms (fractional coordinates):
Ba 0.000 0.000 0.000
Ni 0.250 0.250 0.250
Ni 0.500 0.500 0.500
W 0.750 0.750 0.750

Results
- Offset from the most stable computed form: 996 meV per atom
- Total magnetization: 0.00 μB/atom
- Raw total energy: -5.350 eV per atom
- Density of states at the Fermi level: 1.9 states/eV per cell
- ΔH_f (0 K): 1.260 eV per atom